Compound: La4Hg3Ir2
Source: the Alexandria database
Functional: PBE-GGA
Structure: relaxed

a b c (Å): 6.2983 9.3832 9.3829
angles (deg): 66.21 95.57 95.57
Last column: nearest neighbours and their distance in Å.
Sites, in units of the cell vectors:
La 0.5461 0.8542 0.3268  2 Ir 2.87-2.99
La 0.9539 0.6732 0.1458  2 Ir 2.87-2.99
La 0.4539 0.1458 0.6732  2 Ir 2.87-2.99
La 0.0461 0.3268 0.8542  2 Ir 2.87-2.99
La 0.9011 0.1999 0.4017  3 Ir 2.84-3.01
La 0.5989 0.5983 0.8001  3 Ir 2.84-3.01
La 0.0989 0.8001 0.5983  3 Ir 2.84-3.01
La 0.4011 0.4017 0.1999  3 Ir 2.84-3.01
Hg 0.0379 0.0066 0.1841  1 Ir 2.86
Hg 0.4621 0.8159 0.9934  1 Ir 2.86
Hg 0.9621 0.9934 0.8159  1 Ir 2.86
Hg 0.5379 0.1841 0.0066  1 Ir 2.86
Hg 0.2500 0.5104 0.4896  2 Hg 3.16, 6 La 3.41-3.50
Hg 0.7500 0.4896 0.5104  2 Hg 3.16, 6 La 3.41-3.50
Ir 0.3286 0.0828 0.4008  5 La 2.84-3.01, 1 Ir 2.84, 1 Hg 2.86
Ir 0.1714 0.5992 0.9172  5 La 2.84-3.01, 1 Ir 2.84, 1 Hg 2.86
Ir 0.6714 0.9172 0.5992  5 La 2.84-3.01, 1 Ir 2.84, 1 Hg 2.86
Ir 0.8286 0.4008 0.0828  5 La 2.84-3.01, 1 Ir 2.84, 1 Hg 2.86

Summary:
* space-group type: No. 15
* total magnetization: 0.000 μB per cell
* Fermi-level density of states: 0.80 states/eV/atom

---

Compound: La2HgIr
Source: the Alexandria database
Functional: PBE-GGA
Structure: relaxed

a b c (Å): 3.6793 3.6793 7.8312
angles (deg): 90.00 90.00 89.92
Last column: nearest neighbours and their distance in Å.
Sites, in units of the cell vectors:
Ir 0.5000 0.5000 0.7500  8 La 3.10-3.11
Hg 0.5000 0.5000 0.2500  8 La 3.42, 4 Hg 3.68
La 0.0000 0.0000 0.9661  4 Ir 3.10-3.11, 1 La 3.38, 4 Hg 3.42
La 0.0000 0.0000 0.5339  4 Ir 3.10-3.11, 1 La 3.38, 4 Hg 3.42

Summary:
* space-group type: No. 65
* total magnetization: 0.000 μB per cell
* Fermi-level density of states: 0.52 states/eV/atom

---

Compound: La5HgIr2
Source: the Alexandria database
Functional: PBE-GGA
Structure: relaxed

a b c (Å): 8.1247 8.1247 9.1074
angles (deg): 116.49 116.49 90.00
Last column: nearest neighbours and their distance in Å.
Sites, in units of the cell vectors:
La 0.5295 0.7067 0.7362  3 Ir 2.96-3.08
La 0.7933 0.9705 0.2638  3 Ir 2.96-3.08
La 0.0000 0.0000 0.0000  4 Ir 3.14
La 0.5000 0.5000 0.0000  4 Ir 3.14
La 0.2067 0.0295 0.7362  3 Ir 2.96-3.08
La 0.7067 0.2067 0.7362  3 Ir 2.96-3.08
La 0.0295 0.5295 0.7362  3 Ir 2.96-3.08
La 0.2933 0.7933 0.2638  3 Ir 2.96-3.08
La 0.9705 0.4705 0.2638  3 Ir 2.96-3.08
La 0.4705 0.2933 0.2638  3 Ir 2.96-3.08
Hg 0.7500 0.7500 0.5000  10 La 3.47-3.53
Hg 0.2500 0.2500 0.5000  10 La 3.47-3.53
Ir 0.1387 0.3613 0.0000  8 La 2.96-3.14, 1 Ir 3.19
Ir 0.6387 0.1387 0.0000  8 La 2.96-3.14, 1 Ir 3.19
Ir 0.3613 0.8613 0.0000  8 La 2.96-3.14, 1 Ir 3.19
Ir 0.8613 0.6387 0.0000  8 La 2.96-3.14, 1 Ir 3.19

Summary:
* space-group type: No. 140
* total magnetization: 0.004 μB per cell
* Fermi-level density of states: 1.22 states/eV/atom

---

Compound: La5Hg2Ir2
Source: the Alexandria database
Functional: PBE-GGA
Structure: relaxed

a b c (Å): 8.1219 7.8510 9.1106
angles (deg): 115.52 90.00 90.00
Last column: nearest neighbours and their distance in Å.
Sites, in units of the cell vectors:
La 0.0000 0.0000 0.0000  4 Ir 3.06-3.16
La 0.5000 0.5000 0.0000  4 Ir 3.06-3.16
La 0.8300 0.7859 0.2374  3 Ir 2.96-3.15
La 0.1700 0.4515 0.2374  3 Ir 2.96-3.15
La 0.3300 0.9515 0.2374  3 Ir 2.96-3.15
La 0.6700 0.2859 0.2374  3 Ir 2.96-3.15
La 0.1700 0.2141 0.7626  3 Ir 2.96-3.15
La 0.8300 0.5485 0.7626  3 Ir 2.96-3.15
La 0.6700 0.0485 0.7626  3 Ir 2.96-3.15
La 0.3300 0.7141 0.7626  3 Ir 2.96-3.15
Hg 0.0000 0.2146 0.4293  7 La 3.34-3.53
Hg 0.5000 0.7146 0.4293  7 La 3.34-3.53
Hg 0.0000 0.7854 0.5707  7 La 3.34-3.53
Hg 0.5000 0.2854 0.5707  7 La 3.34-3.53
Ir 0.6332 0.8651 0.0000  8 La 2.96-3.16, 1 Ir 3.03
Ir 0.3668 0.1349 0.0000  8 La 2.96-3.16, 1 Ir 3.03
Ir 0.1332 0.6349 0.0000  8 La 2.96-3.16, 1 Ir 3.03
Ir 0.8668 0.3651 0.0000  8 La 2.96-3.16, 1 Ir 3.03

Summary:
* space-group type: No. 64
* total magnetization: 0.000 μB per cell
* Fermi-level density of states: 0.80 states/eV/atom

---

Compound: La3HgIr
Source: the Alexandria database
Functional: PBE-GGA
Structure: relaxed

a b c (Å): 4.7944 8.5571 14.8047
angles (deg): 90.00 90.00 90.00
Last column: nearest neighbours and their distance in Å.
Sites, in units of the cell vectors:
La 0.7500 0.1704 0.2886  1 Ir 2.68
La 0.2500 0.6402 0.9852  2 Ir 2.94
La 0.2500 0.0002 0.1081  3 Ir 2.85-3.04
La 0.2500 0.5002 0.3919  3 Ir 2.85-3.04
La 0.2500 0.1402 0.5148  2 Ir 2.94
La 0.7500 0.4998 0.6081  3 Ir 2.85-3.04
La 0.2500 0.3296 0.7886  1 Ir 2.68
La 0.7500 0.9998 0.8919  3 Ir 2.85-3.04
La 0.7500 0.3598 0.0148  2 Ir 2.94
La 0.7500 0.6704 0.2114  1 Ir 2.68
La 0.7500 0.8598 0.4852  2 Ir 2.94
La 0.2500 0.8296 0.7114  1 Ir 2.68
Hg 0.2500 0.8834 0.3268  9 La 3.36-3.55, 1 Ir 3.66
Hg 0.7500 0.1166 0.6732  9 La 3.36-3.55, 1 Ir 3.66
Hg 0.7500 0.6166 0.8268  9 La 3.36-3.55, 1 Ir 3.66
Hg 0.2500 0.3834 0.1732  9 La 3.36-3.55, 1 Ir 3.66
Ir 0.2500 0.6934 0.5486  4 La 2.68-2.94
Ir 0.7500 0.3066 0.4514  4 La 2.68-2.94
Ir 0.7500 0.8066 0.0486  4 La 2.68-2.94
Ir 0.2500 0.1934 0.9514  4 La 2.68-2.94

Summary:
* space-group type: No. 62
* total magnetization: 0.000 μB per cell
* offset from the most stable computed form: 0 meV/atom
* Fermi-level density of states: 1.02 states/eV/atom

---

Compound: LaHg2Ir
Source: the Alexandria database
Functional: PBE-GGA
Structure: relaxed

a b c (Å): 3.9470 4.1510 6.4055
angles (deg): 71.10 90.00 90.00
Last column: nearest neighbours and their distance in Å.
Sites, in units of the cell vectors:
Hg 0.0000 0.0451 0.0350  1 Ir 2.79, 4 Hg 3.09
Hg 0.5000 0.4496 0.2257  2 Ir 2.89, 4 Hg 3.09
Ir 0.0000 0.2750 0.5744  3 Hg 2.79-2.89, 4 La 2.91-2.92
La 0.5000 0.7304 0.6649  4 Ir 2.91-2.92

Summary:
* space-group type: No. 38
* total magnetization: 0.000 μB per cell
* Fermi-level density of states: 0.32 states/eV/atom

---

Number 1: energy of formation from the pure elements -53.2 kJ per mole of atoms. Number 2: energy of formation from the pure elements -57.3 kJ per mole of atoms. Number 3: energy of formation from the pure elements -58.7 kJ per mole of atoms. Number 4: energy of formation from the pure elements -58.9 kJ per mole of atoms. Number 5: energy of formation from the pure elements -56.8 kJ per mole of atoms. Number 6: energy of formation from the pure elements -30.7 kJ per mole of atoms.